The following is a PBE+U calculation of crystalline VH2F4 at its relaxed geometry, from the Alexandria database.

Computed properties:
Its total energy is -5.1472 eV per atom.

a b c (Å): 5.020 5.020 5.087
angles (deg): 92.32 92.32 38.85
Element x y z (fractional)
V (0.000, 0.000, 0.000)
H (0.268, 0.268, 0.254)
H (0.732, 0.732, 0.746)
F (0.163, 0.163, 0.301)
F (0.398, 0.398, 0.173)
F (0.602, 0.602, 0.827)
F (0.837, 0.837, 0.699)